(1)
Material: Tb2Sm2Ho2Mg
Method: DFT, PBE-GGA
State: relaxed

Cell and atoms, written as CIF:
```
data_Tb2Sm2Ho2Mg
_chemical_formula_sum 'Tb2 Sm2 Ho2 Mg1'
_cell_length_a 3.651
_cell_length_b 6.300
_cell_length_c 11.530
_cell_angle_alpha 116.88
_cell_angle_beta 90.00
_cell_angle_gamma 106.84
_symmetry_space_group_name_H-M 'P 1'
_symmetry_Int_Tables_number 1
_symmetry_space_group_name_Hall 'P 1'
loop_
_atom_site_label
_atom_site_type_symbol
_atom_site_fract_x
_atom_site_fract_y
_atom_site_fract_z
Tb1 Tb 0.748 0.496 0.630
Tb2 Tb 0.252 0.504 0.370
Sm1 Sm 0.530 0.060 0.746
Sm2 Sm 0.470 0.940 0.254
Ho1 Ho 0.679 0.359 0.085
Ho2 Ho 0.321 0.641 0.915
Mg1 Mg 0.000 0.000 0.500
```

Summary:
Its space-group type is C2/m. The formation energy is 90 meV/atom.



(2)
Material: PuU2B6
Method: DFT, PBE-GGA
State: relaxed

Cell and atoms, written as CIF:
```
data_PuU2B6
_chemical_formula_sum 'Pu1 U2 B6'
_cell_length_a 4.015
_cell_length_b 5.376
_cell_length_c 5.376
_cell_angle_alpha 120.00
_cell_angle_beta 90.00
_cell_angle_gamma 90.00
_symmetry_space_group_name_H-M 'P 1'
_symmetry_Int_Tables_number 1
_symmetry_space_group_name_Hall 'P 1'
loop_
_atom_site_label
_atom_site_type_symbol
_atom_site_fract_x
_atom_site_fract_y
_atom_site_fract_z
Pu1 Pu 0.000 0.000 0.000
U1 U 0.000 0.333 0.667
U2 U 0.000 0.667 0.333
B1 B 0.500 0.334 0.334
B2 B 0.500 0.666 0.666
B3 B 0.500 0.000 0.666
B4 B 0.500 0.666 0.000
B5 B 0.500 0.334 0.000
B6 B 0.500 0.000 0.334
```

Summary:
Its space-group type is P6/mmm. The formation energy is -524 meV/atom.



(3)
Material: YbMn2Zn
Method: DFT, PBE-GGA
State: relaxed

Cell and atoms, written as CIF:
```
data_YbMn2Zn
_chemical_formula_sum 'Yb1 Mn2 Zn1'
_cell_length_a 4.344
_cell_length_b 4.344
_cell_length_c 5.448
_cell_angle_alpha 66.23
_cell_angle_beta 66.23
_cell_angle_gamma 60.17
_symmetry_space_group_name_H-M 'P 1'
_symmetry_Int_Tables_number 1
_symmetry_space_group_name_Hall 'P 1'
loop_
_atom_site_label
_atom_site_type_symbol
_atom_site_fract_x
_atom_site_fract_y
_atom_site_fract_z
Zn1 Zn 0.750 0.750 0.750
Yb1 Yb 0.250 0.250 0.250
Mn1 Mn 0.042 0.042 0.872
Mn2 Mn 0.458 0.458 0.628
```

Summary:
Its space-group type is C2/m. The formation energy is 270 meV/atom.



(4)
Material: Pr4SbPt2
Method: DFT, PBE-GGA
State: relaxed

Cell and atoms, written as CIF:
```
data_Pr4SbPt2
_chemical_formula_sum 'Pr8 Sb2 Pt4'
_cell_length_a 8.093
_cell_length_b 8.093
_cell_length_c 8.093
_cell_angle_alpha 108.29
_cell_angle_beta 108.30
_cell_angle_gamma 111.84
_symmetry_space_group_name_H-M 'P 1'
_symmetry_Int_Tables_number 1
_symmetry_space_group_name_Hall 'P 1'
loop_
_atom_site_label
_atom_site_type_symbol
_atom_site_fract_x
_atom_site_fract_y
_atom_site_fract_z
Pr1 Pr 0.863 0.247 0.258
Pr2 Pr 0.261 0.503 0.116
Pr3 Pr 0.989 0.605 0.742
Pr4 Pr 0.753 0.012 0.617
Pr5 Pr 0.395 0.136 0.383
Pr6 Pr 0.388 0.146 0.884
Pr7 Pr 0.497 0.612 0.757
Pr8 Pr 0.854 0.739 0.243
Sb1 Sb 0.250 0.750 0.500
Sb2 Sb 0.000 0.000 0.000
Pt1 Pt 0.730 0.376 0.855
Pt2 Pt 0.521 0.875 0.145
Pt3 Pt 0.625 0.479 0.355
Pt4 Pt 0.125 0.270 0.645
```

Summary:
Its space-group type is I-4. The energy relative to the elements, uncorrected is -0.912 eV/atom.



(5)
Material: ZnAuSe2
Method: DFT, PBE-GGA
State: relaxed

Cell and atoms, written as CIF:
```
data_ZnAuSe2
_chemical_formula_sum 'Zn1 Au1 Se2'
_cell_length_a 2.942
_cell_length_b 2.942
_cell_length_c 10.188
_cell_angle_alpha 90.00
_cell_angle_beta 90.00
_cell_angle_gamma 107.62
_symmetry_space_group_name_H-M 'P 1'
_symmetry_Int_Tables_number 1
_symmetry_space_group_name_Hall 'P 1'
loop_
_atom_site_label
_atom_site_type_symbol
_atom_site_fract_x
_atom_site_fract_y
_atom_site_fract_z
Au1 Au 0.500 0.500 0.750
Se1 Se 0.000 0.000 0.057
Se2 Se 0.000 0.000 0.443
Zn1 Zn 0.500 0.500 0.250
```

Summary:
Its space-group type is Cmmm. The energy relative to the elements, uncorrected is 0.273 eV/atom.



(6)
Material: NbGaNi2
Method: DFT, PBE-GGA
State: relaxed

Cell and atoms, written as CIF:
```
data_NbGaNi2
_chemical_formula_sum 'Nb1 Ga1 Ni2'
_cell_length_a 4.026
_cell_length_b 2.698
_cell_length_c 5.170
_cell_angle_alpha 96.06
_cell_angle_beta 90.00
_cell_angle_gamma 90.00
_symmetry_space_group_name_H-M 'P 1'
_symmetry_Int_Tables_number 1
_symmetry_space_group_name_Hall 'P 1'
loop_
_atom_site_label
_atom_site_type_symbol
_atom_site_fract_x
_atom_site_fract_y
_atom_site_fract_z
Nb1 Nb 0.500 0.500 0.000
Ga1 Ga 0.500 0.000 0.500
Ni1 Ni 0.000 0.080 0.244
Ni2 Ni 0.000 0.920 0.756
```

Summary:
Its space-group type is P2/m. The formation energy is -203 meV/atom.



(7)
Material: BeNiAg
Method: DFT, PBE-GGA
State: relaxed

Cell and atoms, written as CIF:
```
data_BeNiAg
_chemical_formula_sum 'Be1 Ni1 Ag1'
_cell_length_a 5.162
_cell_length_b 5.162
_cell_length_c 2.745
_cell_angle_alpha 74.57
_cell_angle_beta 74.58
_cell_angle_gamma 30.84
_symmetry_space_group_name_H-M 'P 1'
_symmetry_Int_Tables_number 1
_symmetry_space_group_name_Hall 'P 1'
loop_
_atom_site_label
_atom_site_type_symbol
_atom_site_fract_x
_atom_site_fract_y
_atom_site_fract_z
Ni1 Ni 0.698 0.698 0.302
Ag1 Ag 0.991 0.991 0.009
Be1 Be 0.311 0.311 0.689
```

Summary:
As for the energy above the most stable polymorph in this dataset: 0.0 kJ per mole of atoms. Its space-group type is I4mm. The formation energy is -45 meV/atom.



(8)
Material: MnHg2Se4
Method: DFT, PBE-GGA
State: relaxed

Cell and atoms, written as CIF:
```
data_MnHg2Se4
_chemical_formula_sum 'Mn1 Hg2 Se4'
_cell_length_a 4.570
_cell_length_b 4.570
_cell_length_c 8.995
_cell_angle_alpha 75.28
_cell_angle_beta 75.28
_cell_angle_gamma 90.00
_symmetry_space_group_name_H-M 'P 1'
_symmetry_Int_Tables_number 1
_symmetry_space_group_name_Hall 'P 1'
loop_
_atom_site_label
_atom_site_type_symbol
_atom_site_fract_x
_atom_site_fract_y
_atom_site_fract_z
Mn1 Mn 0.000 0.000 0.000
Hg1 Hg 0.672 0.672 0.656
Hg2 Hg 0.328 0.328 0.344
Se1 Se 0.846 0.846 0.309
Se2 Se 0.154 0.154 0.691
Se3 Se 0.000 0.500 0.000
Se4 Se 0.500 0.000 0.000
```

Summary:
Its space-group type is I4/mmm. The energy relative to the elements, uncorrected is 0.160 eV/atom.